1.
Na4Ho3CrSe8: optimized geometry, GGA-PBE.

Values from the calculation:
- ΔE_f (raw): -1.443 eV per atom
- E: -4.974 eV/atom
- Theoretical density: 5.3 Mg/m³

a b c (Å): 8.080 8.415 8.081
angles (deg): 118.71 120.00 90.00
Last column: magnetic moment on the atom in μB.
Sites, in units of the cell vectors:
Se1 0.239 0.281 0.010  -0.04
Se2 0.229 0.719 0.458  -0.04
Cr1 0.000 0.500 0.000  3.04
Se3 0.256 0.269 0.513  0.00
Se4 0.761 0.719 0.990  -0.04
Na1 0.000 0.000 0.500  0.00
Ho1 0.500 0.500 0.500  0.01
Se5 0.771 0.281 0.542  -0.04
Se6 0.771 0.281 0.010  -0.04
Na2 0.000 0.000 0.000  0.00
Na3 0.500 0.000 0.000  0.00
Ho2 0.000 0.500 0.500  0.01
Ho3 0.500 0.500 0.000  0.01
Se7 0.229 0.719 0.990  -0.04
Na4 0.500 0.000 0.500  0.00
Se8 0.744 0.731 0.487  0.00

=====

2.
HoNbCr4: optimized geometry, GGA-PBE.

Values from the calculation:
- DOS at the Fermi energy: 1.142 states/eV/atom
- DFT formation energy: 151 meV per atom
- E: -8.706 eV/atom
- Theoretical density: 8.5 Mg/m³

a b c (Å): 5.048 5.048 5.048
angles (deg): 60.00 60.00 60.00
Sites, in units of the cell vectors:
Cr1 0.625 0.126 0.625
Nb1 0.250 0.250 0.250
Cr2 0.625 0.625 0.625
Cr3 0.126 0.625 0.625
Ho1 0.000 0.000 0.000
Cr4 0.625 0.625 0.126